Entry 1:
{
  "formula": "YH12Pd7",
  "functional": "PBE",
  "state": "optimized geometry",
  "lattice": [[-3.513, 3.513, 3.513], [3.513, -3.513, 3.513], [3.513, 3.513, -3.513]],
  "species": ["Y", "H", "H", "H", "H", "H", "H", "H", "H", "H", "H", "H", "H", "Pd", "Pd", "Pd", "Pd", "Pd", "Pd", "Pd"],
  "frac_coords": [[0.000, 0.000, 0.000], [0.132, 0.306, 0.825], [0.175, 0.481, 0.306], [0.175, 0.868, 0.694], [0.306, 0.175, 0.481], [0.306, 0.825, 0.132], [0.481, 0.306, 0.175], [0.519, 0.694, 0.825], [0.694, 0.175, 0.868], [0.694, 0.825, 0.519], [0.825, 0.132, 0.306], [0.825, 0.519, 0.694], [0.868, 0.694, 0.175], [0.000, 0.000, 0.500], [0.000, 0.500, 0.000], [0.000, 0.500, 0.500], [0.500, 0.000, 0.000], [0.500, 0.000, 0.500], [0.500, 0.500, 0.000], [0.500, 0.500, 0.500]],
  "volume_a3_per_cell": 173,
  "e_tot_ev_per_atom": -4.32
}


Entry 2:
{
  "formula": "Y2HPd4",
  "functional": "PBE",
  "state": "optimized geometry",
  "lattice": [[-2.045, 2.045, 7.328], [2.045, -2.045, 7.328], [2.045, 2.045, -7.328]],
  "species": ["Y", "Y", "H", "Pd", "Pd", "Pd", "Pd"],
  "frac_coords": [[0.162, 0.162, 0.000], [0.838, 0.838, 0.000], [0.500, 0.500, 0.000], [0.000, 0.500, 0.500], [0.364, 0.364, 0.000], [0.500, 0.000, 0.500], [0.636, 0.636, 0.000]],
  "volume_a3_per_cell": 123,
  "e_tot_ev_per_atom": -5.98
}


Please write out number 1 again, unchanged.
{
  "formula": "YH12Pd7",
  "functional": "PBE",
  "state": "optimized geometry",
  "lattice": [[-3.513, 3.513, 3.513], [3.513, -3.513, 3.513], [3.513, 3.513, -3.513]],
  "species": ["Y", "H", "H", "H", "H", "H", "H", "H", "H", "H", "H", "H", "H", "Pd", "Pd", "Pd", "Pd", "Pd", "Pd", "Pd"],
  "frac_coords": [[0.000, 0.000, 0.000], [0.132, 0.306, 0.825], [0.175, 0.481, 0.306], [0.175, 0.868, 0.694], [0.306, 0.175, 0.481], [0.306, 0.825, 0.132], [0.481, 0.306, 0.175], [0.519, 0.694, 0.825], [0.694, 0.175, 0.868], [0.694, 0.825, 0.519], [0.825, 0.132, 0.306], [0.825, 0.519, 0.694], [0.868, 0.694, 0.175], [0.000, 0.000, 0.500], [0.000, 0.500, 0.000], [0.000, 0.500, 0.500], [0.500, 0.000, 0.000], [0.500, 0.000, 0.500], [0.500, 0.500, 0.000], [0.500, 0.500, 0.500]],
  "volume_a3_per_cell": 173,
  "e_tot_ev_per_atom": -4.32
}